Compound: KMg4Sn2
Source: the Alexandria database
Functional: PBE
Structure: relaxed

Output
- crystal system = tetragonal
- energy of formation from the pure elements (meV per atom) = -160
- E (eV/atom) = -2.371

Lattice parameters (Å, degrees): 9.040 9.040 4.730 90.00 90.00 90.00
Atoms (fractional coordinates):
K 0.000 0.000 0.000
K 0.500 0.500 0.500
Mg 0.085 0.335 0.500
Mg 0.165 0.585 0.000
Mg 0.335 0.085 0.500
Mg 0.415 0.835 0.000
Mg 0.585 0.165 0.000
Mg 0.665 0.915 0.500
Mg 0.835 0.415 0.000
Mg 0.915 0.665 0.500
Sn 0.224 0.776 0.500
Sn 0.276 0.276 0.000
Sn 0.724 0.724 0.000
Sn 0.776 0.224 0.500



Compound: TbVC2
Source: the Alexandria database
Functional: PBE
Structure: relaxed

Output
- crystal system = trigonal
- energy of formation from the pure elements (meV per atom) = -140
- E (eV/atom) = -8.189

Lattice parameters (Å, degrees): 5.742 5.742 5.742 32.49 32.49 32.49
Atoms (fractional coordinates):
Tb 0.000 0.000 0.000
V 0.500 0.500 0.500
C 0.234 0.234 0.234
C 0.766 0.766 0.766



Compound: LaCdIO2
Source: the Alexandria database
Functional: PBE
Structure: relaxed

Output
- crystal system = tetragonal
- E (eV/atom) = -4.799
- energy above the lowest structure with this stoichiometry (eV per atom) = 0.000

Lattice parameters (Å, degrees): 4.464 4.464 7.006 90.00 90.00 90.00
Atoms (fractional coordinates):
La 0.000 0.000 0.000
Cd 0.500 0.500 0.500
I 0.000 0.000 0.500
O 0.000 0.500 0.000
O 0.500 0.000 0.000